# CuHgAs2

A crystal of CuHgAs2 relaxed with PBEsol (meta-GGA SCAN, Alexandria).

Cell and atoms, written as POSCAR:
```
CuHgAs2
1.0
3.6358 0.0000 0.0000
0.0000 3.6539 0.0000
0.0000 0.0000 11.6524
Cu Hg As
2 2 4
Cartesian
0.0000 0.0000 0.0000 Cu
1.8179 1.8270 5.8262 Cu
0.0000 1.8270 9.2005 Hg
1.8179 0.0000 3.3743 Hg
0.0000 0.0000 5.6966 As
0.0000 1.8270 1.7336 As
1.8179 0.0000 7.5598 As
1.8179 1.8270 11.5228 As
```

Crystal system: orthorhombic
Calculated formation energy: 198 meV per atom
D(E_F): 1.540 states/eV/f.u.

---

# CuGe3Bi

A crystal of CuGe3Bi relaxed with PBEsol (meta-GGA SCAN, Alexandria).

Cell and atoms, written as POSCAR:
```
CuGe3Bi
1.0
4.7214 0.0000 0.0000
0.0000 4.7214 0.0000
0.0000 0.0000 4.7214
Cu Ge Bi
1 3 1
Cartesian
0.0000 0.0000 0.0000 Cu
0.0000 0.0000 2.3607 Ge
0.0000 2.3607 0.0000 Ge
2.3607 0.0000 0.0000 Ge
2.3607 2.3607 2.3607 Bi
```

Crystal system: cubic
Energy relative to the lowest polymorph listed for this composition: 0.0 meV per atom
Calculated formation energy: 431 meV per atom
D(E_F): 2.401 states/eV/f.u.

---

Q: The lowest D(E_F) belongs to which entry?
A: CuHgAs2